1.
## Tb2ZnCu (PBE)

Data for Tb2ZnCu after structural relaxation.

```
Tb2ZnCu
1.0
3.529 0.000 0.000
0.000 3.529 0.000
0.000 0.000 7.094
Zn Tb Cu
1 2 1
Cartesian
0.000 0.000 3.547
1.764 1.764 1.726
1.764 1.764 5.368
0.000 0.000 0.000
```

## Properties
For the final energy, the calculation gives -0.1449 Ha/atom. The symmetry is No. 123. The formation energy from the elements comes out at -286 meV per atom.

2.
## Y4C (PBE)

Data for Y4C after structural relaxation.

```
Y4C
1.0
5.720 7.264 2.143
1.191 9.416 0.013
-4.560 -8.203 1.409
Y C
4 1
Cartesian
2.308 3.700 2.314
0.043 4.776 1.249
3.987 9.622 1.243
2.925 7.058 0.912
0.000 0.000 0.000
```

## Properties
For the final energy, the calculation gives -0.2136 Ha/atom. The symmetry is No. 139. The formation energy from the elements comes out at 1202 meV per atom.

3.
## Rb2PdRuPt (PBE)

Data for Rb2PdRuPt after structural relaxation.

```
Rb2PdRuPt
1.0
6.229 0.000 0.000
0.000 4.942 0.000
0.000 0.000 6.229
Ru Rb Pd Pt
1 2 1 1
Cartesian
3.114 2.471 3.114
0.000 0.000 3.114
3.114 0.000 0.000
0.000 0.000 0.000
0.000 2.471 0.000
```

## Properties
For the final energy, the calculation gives -0.1149 Ha/atom. The symmetry is No. 123. The formation energy from the elements comes out at 1361 meV per atom.

4.
## BiPW3 (PBE)

Data for BiPW3 after structural relaxation.

```
BiPW3
1.0
5.030 0.000 0.000
0.000 5.030 0.000
0.000 0.000 5.030
P Bi W
1 1 3
Cartesian
2.515 2.515 2.515
0.000 0.000 0.000
0.000 2.515 0.000
0.000 0.000 2.515
2.515 0.000 0.000
```

## Properties
For the final energy, the calculation gives -0.2282 Ha/atom. The symmetry is No. 221. The formation energy from the elements comes out at 3420 meV per atom.

5.
## TmSbPd5 (PBE)

Data for TmSbPd5 after structural relaxation.

```
TmSbPd5
1.0
4.902 -1.203 0.462
0.415 5.031 0.462
1.910 1.375 10.216
Tm Sb Pd
2 2 10
Cartesian
3.478 1.783 3.016
3.750 3.420 8.124
0.000 0.000 0.000
0.955 0.688 5.108
3.481 3.936 5.127
6.134 2.115 7.239
5.792 2.740 10.235
5.164 -0.559 3.016
4.231 0.745 9.009
2.996 4.459 2.130
2.064 5.762 8.124
1.435 2.463 0.905
1.093 3.089 3.901
3.746 1.267 6.013
```

## Properties
The value obtained for the formation energy from raw total energies is -0.618 eV/atom. For the final energy, the calculation gives -0.2042 Ha/atom. The symmetry is No. 15.